A plane-wave DFT calculation with PBE was carried out for an optimized crystal structure of KPr2Cl8.

Values from the calculation:
* SG: C2/m
* N(E_F): 0.769 states/eV/atom
* crystal system: monoclinic
* magnetic moment: 0.00 μB per formula unit
* ΔE_f (raw): -22.1 eV per formula unit

a = 8.182 Å, b = 8.182 Å, c = 5.376 Å
α = 90.04°, β = 90.04°, γ = 115.29°
Element x y z (fractional)
K 0.000 0.000 0.000
Pr 0.303 0.697 0.500
Pr 0.697 0.303 0.500
Cl 0.059 0.326 0.501
Cl 0.253 0.747 0.000
Cl 0.326 0.059 0.501
Cl 0.500 0.500 0.246
Cl 0.500 0.500 0.754
Cl 0.674 0.941 0.499
Cl 0.747 0.253 0.000
Cl 0.941 0.674 0.499